(A)
Compound: Sb2AuI2
Source: Alexandria
Functional: GGA-PBE
Structure: relaxed

a = 8.3118 Å, b = 8.3118 Å, c = 8.8518 Å
α = 55.83°, β = 55.83°, γ = 60.22°
Sites, in units of the cell vectors:
Au: 0.0081 0.9919 0.7500
Au: 0.9919 0.0081 0.2500
I: 0.6166 0.7932 0.8255
I: 0.7932 0.6166 0.3255
I: 0.2068 0.3834 0.6745
I: 0.3834 0.2068 0.1745
Sb: 0.1500 0.7783 0.0423
Sb: 0.8500 0.2217 0.9577
Sb: 0.2217 0.8500 0.4577
Sb: 0.7783 0.1500 0.5423

The volume is 403.7 Å³ per cell. Its density of states at the Fermi level is 0.11 states/eV/f.u. The theoretical density comes out at 5.712 Mg/m³.



(B)
Compound: Sb2AuI2
Source: Alexandria
Functional: GGA-PBE
Structure: relaxed

a = 7.3999 Å, b = 7.3999 Å, c = 5.9754 Å
α = 90.00°, β = 90.00°, γ = 90.00°
Sites, in units of the cell vectors:
Sb: 0.1470 0.3530 0.0000
Sb: 0.3530 0.8530 0.0000
Sb: 0.8530 0.6470 0.0000
Sb: 0.6470 0.1470 0.0000
Au: 0.0000 0.0000 0.0000
Au: 0.5000 0.5000 0.0000
I: 0.1851 0.3149 0.5000
I: 0.3149 0.8149 0.5000
I: 0.8149 0.6851 0.5000
I: 0.6851 0.1851 0.5000

The volume is 327.2 Å³ per cell. Its density of states at the Fermi level is 1.77 states/eV/f.u. The theoretical density comes out at 7.047 Mg/m³.



Energies relative to the minimum, kJ/mol of atoms: (A) 0.0; (B) 7.8